(1)
DFT (PBE-GGA) results for crystalline BaZrMn2 at its relaxed geometry.

POSCAR file:
```
BaZrMn2
1.0
-3.716 4.040 -3.058
-6.040 0.628 1.616
6.095 0.439 1.464
Mn Zr Ba
2 1 1
Direct
0.758 0.258 0.500
0.965 0.965 0.000
0.537 0.537 0.000
0.241 0.741 0.500
```

Computed properties:
Raw total energy   -0.23798 hartree per atom
Calculated volume   23.6 Å³ per atom
DFT formation energy   727 meV/atom
Space-group type   No. 44

---

(2)
DFT (PBE-GGA) results for crystalline BaZrMn2 at its relaxed geometry.

POSCAR file:
```
BaZrMn2
1.0
-1.830 1.433 4.720
-4.723 -1.961 -1.236
0.922 -3.024 1.276
Ba Mn Zr
1 2 1
Direct
0.000 0.500 0.500
0.500 0.500 0.000
0.000 0.000 0.000
0.500 0.000 0.500
```

Computed properties:
Raw total energy   -0.23908 hartree per atom
Calculated volume   23.6 Å³ per atom
DFT formation energy   697 meV/atom
Space-group type   No. 123

---

(3)
DFT (PBE-GGA) results for crystalline BaMo at its relaxed geometry.

POSCAR file:
```
BaMo
1.0
6.955 0.000 0.000
0.000 6.955 0.000
0.000 0.000 6.737
Mo Ba
4 4
Direct
0.893 0.893 0.500
0.393 0.607 0.000
0.607 0.393 0.000
0.107 0.107 0.500
0.819 0.819 0.000
0.319 0.681 0.500
0.181 0.181 0.000
0.681 0.319 0.500
```

Computed properties:
Raw total energy   -0.18638 hartree per atom
Calculated volume   40.7 Å³ per atom
DFT formation energy   1305 meV/atom
Space-group type   No. 136

---

(4)
DFT (PBE-GGA) results for crystalline Ba4Mo at its relaxed geometry.

POSCAR file:
```
Ba4Mo
1.0
6.402 0.000 0.000
0.000 6.402 0.000
0.000 0.000 6.402
Ba Mo
4 1
Direct
0.500 0.000 0.500
0.000 0.500 0.500
0.000 0.000 0.000
0.500 0.500 0.000
0.500 0.500 0.500
```

Computed properties:
Raw total energy   -0.11203 hartree per atom
Calculated volume   52.5 Å³ per atom
DFT formation energy   656 meV/atom
Space-group type   No. 221

---

(5)
DFT (PBE-GGA) results for crystalline Ba2Mo at its relaxed geometry.

POSCAR file:
```
Ba2Mo
1.0
2.982 -5.164 0.000
2.982 5.164 0.000
0.000 0.000 7.595
Mo Ba
2 4
Direct
0.333 0.667 0.750
0.667 0.333 0.250
0.000 0.000 0.500
0.667 0.333 0.750
0.333 0.667 0.250
0.000 0.000 0.000
```

Computed properties:
Raw total energy   -0.13901 hartree per atom
Calculated volume   39.0 Å³ per atom
DFT formation energy   1110 meV/atom
Space-group type   No. 194

---

(6)
DFT (PBE-GGA) results for crystalline BaMo at its relaxed geometry.

POSCAR file:
```
BaMo
1.0
-10.503 3.041 -5.898
2.347 -8.626 -8.627
-1.668 -2.260 1.806
Mo Ba
8 8
Direct
0.112 0.459 0.500
0.459 0.888 0.500
0.402 0.066 0.000
0.066 0.598 0.000
0.541 0.112 0.500
0.598 0.934 0.000
0.888 0.541 0.500
0.934 0.402 0.000
0.891 0.803 0.000
0.677 0.379 0.500
0.621 0.677 0.500
0.197 0.891 0.000
0.323 0.621 0.500
0.803 0.109 0.000
0.379 0.323 0.500
0.109 0.197 0.000
```

Computed properties:
Raw total energy   -0.20577 hartree per atom
Calculated volume   32.2 Å³ per atom
DFT formation energy   778 meV/atom
Space-group type   No. 83